PBE NbGa2Mo, optimized geometry; symmetry = Fm-3m, No. 225; crystal system = cubic; total DFT energy (no corrections) = -6.71 eV/atom; formation energy = 0.13 eV/f.u.; energy above the lowest structure with this stoichiometry = 9.5 kJ per mole of atoms; total magnetic moment = 0.00 μB/atom; Fermi-level density of states = 3.105 states/eV per cell
1.0
0.000 3.169 3.169
3.169 0.000 3.169
3.169 3.169 0.000
Mo Nb Ga
1 1 2
direct
0.500 0.500 0.500
0.000 0.000 0.000
0.250 0.250 0.250
0.750 0.750 0.750